[1]
Compound: Mg2TeRu
Source: Alexandria via LeMat-Bulk
Functional: GGA-PBEsol
Structure: optimized geometry

The calculation puts the energy at -0.317 Ry/atom. The raw formation energy is -0.036 eV per atom.

The structure belongs to space group Pm (No. 6); the cell edges are 3.442, 4.224 and 5.620 Å and the angles 90.00°, 108.00° and 90.00°. The distinct sites, in fractional coordinates, are Mg at (0.000, 0.000, 0.000), Mg at (0.334, 0.500, 0.663), Te at (0.727, 0.000, 0.451) and Ru at (0.589, 0.500, 0.178).

=====

[2]
Compound: Mg2TeRu
Source: Alexandria via LeMat-Bulk
Functional: GGA-PBEsol
Structure: optimized geometry

The calculation puts the energy at -0.316 Ry/atom. The raw formation energy is -0.011 eV per atom.

The structure belongs to space group Cmmm (No. 65); the cell edges are 6.143, 6.152 and 3.799 Å and the angles 90.00°, 90.00° and 90.00°. The distinct sites, in fractional coordinates, are Mg at (0.250, 0.250, 0.000), Te at (0.000, 0.000, 0.500) and Ru at (0.000, 0.500, 0.500).

=====

[3]
Compound: MgTeRu
Source: Alexandria via LeMat-Bulk
Functional: GGA-PBEsol
Structure: optimized geometry

The calculation puts the energy at -0.375 Ry/atom. The raw formation energy is 0.038 eV per atom.

The structure belongs to space group P-6m2 (No. 187); the cell edges are 4.4236, 4.4236 and 3.3362 Å and the angles 90.00°, 90.00° and 120.00°. The distinct sites, in fractional coordinates, are Mg at (0.0000, 0.0000, 0.0000), Te at (0.6667, 0.3333, 0.5000) and Ru at (0.3333, 0.6667, 0.5000).

=====

[4]
Compound: MgTlRu2
Source: Alexandria via LeMat-Bulk
Functional: GGA-PBEsol
Structure: optimized geometry

As for the formation energy: 0.33 eV/atom. The calculation puts the energy at -0.429 Ry/atom.

The structure belongs to space group Cm (No. 8); the cell edges are 10.123, 2.925 and 4.783 Å and the angles 90.00°, 111.78° and 90.00°. The distinct sites, in fractional coordinates, are Mg at (0.000, 0.000, 0.000), Tl at (0.280, 0.500, 0.377), Ru at (0.036, 0.500, 0.517) and Ru at (0.244, 0.000, 0.858).

=====

[5]
Compound: Mg4TlRu
Source: Alexandria via LeMat-Bulk
Functional: GGA-PBEsol
Structure: optimized geometry

As for the formation energy: 0.40 eV/atom. The calculation puts the energy at -0.212 Ry/atom.

The structure belongs to space group F-43m (No. 216); the cell edges are 7.720, 7.720 and 7.720 Å and the angles 90.00°, 90.00° and 90.00°. The distinct sites, in fractional coordinates, are Mg at (0.124, 0.124, 0.376), Tl at (0.000, 0.000, 0.000) and Ru at (0.250, 0.250, 0.750).

=====

[6]
Compound: MgURu2
Source: Alexandria via LeMat-Bulk
Functional: GGA-PBEsol
Structure: optimized geometry

As for the formation energy: -0.08 eV/atom. The calculation puts the energy at -0.635 Ry/atom.

The structure belongs to space group Fm-3m (No. 225); the cell edges are 6.435, 6.435 and 6.435 Å and the angles 90.00°, 90.00° and 90.00°. The distinct sites, in fractional coordinates, are Mg at (0.000, 0.000, 0.000), U at (0.000, 0.000, 0.500) and Ru at (0.250, 0.250, 0.250).

=====

| no. | DOS(E_F) (states/eV/atom) | spin magnetization (μB per atom) | calculated volume (Å³ per cell) |
| --- | --- | --- | --- |
| 1 | 0.745 | 0.00 | 77.7 |
| 2 | 0.545 | 0.00 | 143.6 |
| 3 | 0.982 | 0.00 | 56.5 |
| 4 | 1.167 | 0.00 | 131.5 |
| 5 | 0.818 | 0.00 | 460.1 |
| 6 | 1.722 | 0.28 | 266.4 |